Compound: RbTlPbBr2
Source: Alexandria via LeMat-Bulk
Functional: GGA-PBE
Structure: optimized geometry

Output
E_form (uncorrected) in kJ per mole of atoms: -14

```
5
Lattice="6.156 0.000 0.000 0.000 6.156 0.000 0.000 0.000 6.613" Properties=species:S:1:pos:R:3 pbc="T T T"
Rb 0.000 0.000 0.000
Tl 0.000 0.000 3.307
Pb 3.078 3.078 3.307
Br 0.000 3.078 0.000
Br 3.078 0.000 0.000
```